AlZn2OsPb: optimized geometry, PBE-GGA.

Cell: 4.915 5.174 4.915 Å, 90.00 90.00 90.00°
Atoms (fractional coordinates):
Pb1 0.000 0.500 0.000
Zn1 0.000 0.000 0.500
Zn2 0.500 0.000 0.000
Os1 0.000 0.000 0.000
Al1 0.500 0.500 0.500

Values from the calculation:
Final energy: -18.07 eV per cell
Energy relative to the elements: 3.2 eV/f.u.
Size of the total moment: 0.0 μB/cell

***

Zr2AlOsPb: optimized geometry, PBE-GGA.

Cell: 4.982 4.849 4.982 Å, 90.00 90.00 90.00°
Last column: magnetic moment on the atom in μB.
Atoms (fractional coordinates):
Pb1 0.000 0.500 0.000  -0.01
Os1 0.500 0.500 0.500  1.38
Al1 0.000 0.000 0.000  0.02
Zr1 0.000 0.000 0.500  -0.07
Zr2 0.500 0.000 0.000  -0.06

Values from the calculation:
Final energy: -29.14 eV per cell
Energy relative to the elements: 6.6 eV/f.u.
Size of the total moment: 1.4 μB/cell

***

AlOs3Pd: optimized geometry, PBE-GGA.

Cell: 4.716 4.716 4.716 Å, 90.00 90.00 90.00°
Last column: magnetic moment on the atom in μB.
Atoms (fractional coordinates):
Os1 0.000 0.500 0.000  1.41
Os2 0.000 0.000 0.500  1.99
Os3 0.500 0.000 0.000  0.94
Al1 0.500 0.500 0.500  -0.01
Pd1 0.000 0.000 0.000  0.55

Values from the calculation:
Final energy: -29.76 eV per cell
Excess energy over the best structure of this formula in the dataset: 4.275 eV/f.u.
Energy relative to the elements: 12.9 eV/f.u.
Size of the total moment: 5.1 μB/cell

***

Al2OsPd: optimized geometry, PBE-GGA.

Cell: 10.600 4.402 4.402 Å, 39.33 32.89 32.89°
Atoms (fractional coordinates):
Os1 0.500 0.000 0.000
Al1 0.737 0.015 0.015
Al2 0.263 0.985 0.985
Pd1 0.000 0.000 0.000

Values from the calculation:
Final energy: -25.35 eV per cell
Energy relative to the elements: -1.4 eV/f.u.
Size of the total moment: 0.0 μB/cell

***

Al4Os3Pd: optimized geometry, PBE-GGA.

Cell: 3.059 4.249 8.530 Å, 90.00 90.00 90.00°
Atoms (fractional coordinates):
Os1 0.500 0.000 0.245
Os2 0.500 0.500 0.500
Os3 0.500 0.000 0.755
Al1 0.000 0.000 0.500
Al2 0.000 0.500 0.741
Al3 0.000 0.000 0.000
Al4 0.000 0.500 0.259
Pd1 0.500 0.500 0.000

Values from the calculation:
Final energy: -58.25 eV per cell
Energy relative to the elements: -4.4 eV/f.u.
Size of the total moment: 0.0 μB/cell

***

Al2OsPd: optimized geometry, PBE-GGA.

Cell: 3.069 3.069 5.987 Å, 90.00 90.00 90.00°
Atoms (fractional coordinates):
Os1 0.500 0.500 0.000
Al1 0.000 0.000 0.765
Al2 0.000 0.000 0.235
Pd1 0.500 0.500 0.500

Values from the calculation:
Final energy: -26.70 eV per cell
Energy relative to the elements: -2.8 eV/f.u.
Size of the total moment: 0.0 μB/cell

***

AlOsPd3: optimized geometry, PBE-GGA.

Cell: 4.476 4.476 4.476 Å, 90.00 90.00 90.00°
Last column: magnetic moment on the atom in μB.
Atoms (fractional coordinates):
Os1 0.500 0.500 0.500  2.36
Al1 0.000 0.000 0.000  -0.01
Pd1 0.000 0.500 0.000  0.06
Pd2 0.000 0.000 0.500  0.04
Pd3 0.500 0.000 0.000  0.19

Values from the calculation:
Final energy: -25.92 eV per cell
Excess energy over the best structure of this formula in the dataset: 0.000 eV/f.u.
Energy relative to the elements: 4.6 eV/f.u.
Size of the total moment: 2.8 μB/cell

***

Al3OsPd2: optimized geometry, PBE-GGA.

Cell: 4.325 4.325 5.266 Å, 90.00 90.00 120.00°
Atoms (fractional coordinates):
Al1 0.000 0.000 0.500
Al2 0.667 0.333 0.844
Al3 0.333 0.667 0.156
Os1 0.000 0.000 0.000
Pd1 0.667 0.333 0.333
Pd2 0.333 0.667 0.667

Values from the calculation:
Final energy: -37.09 eV per cell
Energy relative to the elements: -4.2 eV/f.u.
Size of the total moment: 0.0 μB/cell

***

AlOs2Pd2: optimized geometry, PBE-GGA.

Cell: 3.611 3.611 6.820 Å, 74.65 74.65 90.00°
Atoms (fractional coordinates):
Os1 0.407 0.407 0.186
Os2 0.593 0.593 0.814
Al1 0.000 0.000 0.000
Pd1 0.750 0.250 0.500
Pd2 0.250 0.750 0.500

Values from the calculation:
Final energy: -34.07 eV per cell
Excess energy over the best structure of this formula in the dataset: 0.948 eV/f.u.
Energy relative to the elements: 2.5 eV/f.u.
Size of the total moment: 0.0 μB/cell

***

AlOsPd3: optimized geometry, PBE-GGA.

Cell: 4.820 4.820 4.820 Å, 90.00 90.00 90.00°
Atoms (fractional coordinates):
Os1 0.000 0.000 0.000
Al1 0.500 0.500 0.500
Pd1 0.000 0.500 0.000
Pd2 0.000 0.000 0.500
Pd3 0.500 0.000 0.000

Values from the calculation:
Final energy: -24.47 eV per cell
Excess energy over the best structure of this formula in the dataset: 1.452 eV/f.u.
Energy relative to the elements: 6.1 eV/f.u.
Size of the total moment: 0.0 μB/cell

***

Al5Os4Pd: optimized geometry, PBE-GGA.

Cell: 3.043 3.043 14.997 Å, 90.00 90.00 90.00°
Atoms (fractional coordinates):
Al1 0.500 0.500 0.108
Al2 0.500 0.500 0.301
Al3 0.500 0.500 0.500
Al4 0.500 0.500 0.699
Al5 0.500 0.500 0.892
Os1 0.000 0.000 0.201
Os2 0.000 0.000 0.401
Os3 0.000 0.000 0.599
Os4 0.000 0.000 0.799
Pd1 0.000 0.000 0.000

Values from the calculation:
Final energy: -73.86 eV per cell
Energy relative to the elements: -5.0 eV/f.u.
Size of the total moment: 0.0 μB/cell

***

Al2Os2Pd: optimized geometry, PBE-GGA.

Cell: 7.273 7.273 2.792 Å, 90.00 90.00 90.00°
Atoms (fractional coordinates):
Os1 0.161 0.661 0.500
Os2 0.661 0.839 0.500
Os3 0.839 0.339 0.500
Os4 0.339 0.161 0.500
Al1 0.363 0.863 0.000
Al2 0.863 0.637 0.000
Al3 0.637 0.137 0.000
Al4 0.137 0.363 0.000
Pd1 0.000 0.000 0.000
Pd2 0.500 0.500 0.000

Values from the calculation:
Final energy: -70.67 eV per cell
Excess energy over the best structure of this formula in the dataset: 0.000 eV/f.u.
Energy relative to the elements: -0.2 eV/f.u.
Size of the total moment: 0.0 μB/cell

***

Al2Os2Pd: optimized geometry, PBE-GGA.

Cell: 3.595 3.595 6.907 Å, 74.92 74.92 90.00°
Atoms (fractional coordinates):
Os1 0.750 0.250 0.500
Os2 0.250 0.750 0.500
Al1 0.399 0.399 0.203
Al2 0.601 0.601 0.797
Pd1 0.000 0.000 0.000

Values from the calculation:
Final energy: -34.07 eV per cell
Excess energy over the best structure of this formula in the dataset: 1.268 eV/f.u.
Energy relative to the elements: 1.1 eV/f.u.
Size of the total moment: 0.0 μB/cell

***

AlOsPd2: optimized geometry, PBE-GGA.

Cell: 3.744 3.744 9.516 Å, 78.65 78.65 90.00°
Last column: magnetic moment on the atom in μB.
Atoms (fractional coordinates):
Os1 0.000 0.000 0.000  0.62
Os2 0.750 0.250 0.500  0.64
Al1 0.500 0.500 0.000  -0.01
Al2 0.250 0.750 0.500  -0.01
Pd1 0.625 0.125 0.250  0.07
Pd2 0.125 0.625 0.250  0.07
Pd3 0.375 0.375 0.750  0.06
Pd4 0.875 0.875 0.750  0.06

Values from the calculation:
Final energy: -48.75 eV per cell
Energy relative to the elements: 1.0 eV/f.u.
Size of the total moment: 1.5 μB/cell

***

Al2OsPd: optimized geometry, PBE-GGA.

Cell: 3.975 3.975 8.879 Å, 77.07 77.07 90.00°
Last column: magnetic moment on the atom in μB.
Atoms (fractional coordinates):
Os1 0.000 0.000 0.000  0.70
Os2 0.750 0.250 0.500  0.70
Al1 0.636 0.125 0.250  -0.01
Al2 0.114 0.625 0.250  -0.01
Al3 0.375 0.364 0.750  -0.01
Al4 0.875 0.886 0.750  -0.01
Pd1 0.500 0.500 0.000  0.04
Pd2 0.250 0.750 0.500  0.04

Values from the calculation:
Final energy: -46.77 eV per cell
Energy relative to the elements: 0.5 eV/f.u.
Size of the total moment: 1.5 μB/cell

***

AlOs3Pd: optimized geometry, PBE-GGA.

Cell: 4.393 4.393 4.393 Å, 90.00 90.00 90.00°
Atoms (fractional coordinates):
Os1 0.000 0.500 0.000
Os2 0.000 0.000 0.500
Os3 0.500 0.000 0.000
Al1 0.000 0.000 0.000
Pd1 0.500 0.500 0.500

Values from the calculation:
Final energy: -34.03 eV per cell
Excess energy over the best structure of this formula in the dataset: 0.000 eV/f.u.
Energy relative to the elements: 8.6 eV/f.u.
Size of the total moment: 0.0 μB/cell

***

Al2OsPd: optimized geometry, PBE-GGA.

Cell: 5.757 5.757 5.757 Å, 57.57 153.18 130.08°
Atoms (fractional coordinates):
Os1 0.000 0.500 0.500
Al1 0.000 0.250 0.250
Al2 0.000 0.750 0.750
Pd1 0.000 0.000 0.000

Values from the calculation:
Final energy: -22.44 eV per cell
Energy relative to the elements: 1.5 eV/f.u.
Size of the total moment: 0.0 μB/cell

***

AlOs2Pd2: optimized geometry, PBE-GGA.

Cell: 6.394 6.394 3.934 Å, 90.00 90.00 90.00°
Atoms (fractional coordinates):
Os1 0.367 0.867 0.000
Os2 0.867 0.633 0.000
Os3 0.633 0.133 0.000
Os4 0.133 0.367 0.000
Al1 0.000 0.000 0.000
Al2 0.500 0.500 0.000
Pd1 0.164 0.664 0.500
Pd2 0.664 0.836 0.500
Pd3 0.836 0.336 0.500
Pd4 0.336 0.164 0.500

Values from the calculation:
Final energy: -70.04 eV per cell
Excess energy over the best structure of this formula in the dataset: 0.000 eV/f.u.
Energy relative to the elements: 1.6 eV/f.u.
Size of the total moment: 0.0 μB/cell

***

Al8OsPd2: optimized geometry, PBE-GGA.

Cell: 3.989 7.146 7.231 Å, 119.61 106.01 90.00°
Atoms (fractional coordinates):
Al1 0.661 0.894 0.322
Al2 0.339 0.572 0.678
Al3 0.149 0.149 0.299
Al4 0.000 0.289 0.000
Al5 0.851 0.851 0.701
Al6 0.661 0.428 0.322
Al7 0.339 0.106 0.678
Al8 0.000 0.711 0.000
Os1 0.500 0.000 0.000
Pd1 0.179 0.679 0.357
Pd2 0.821 0.321 0.643

Values from the calculation:
Final energy: -56.37 eV per cell
Energy relative to the elements: -4.8 eV/f.u.
Size of the total moment: 0.0 μB/cell

***

Al2OsPd: optimized geometry, PBE-GGA.

Cell: 3.076 4.262 4.262 Å, 90.00 90.00 90.00°
Atoms (fractional coordinates):
Os1 0.500 0.500 0.500
Al1 0.000 0.000 0.500
Al2 0.000 0.500 0.000
Pd1 0.500 0.000 0.000

Values from the calculation:
Final energy: -26.64 eV per cell
Energy relative to the elements: -2.7 eV/f.u.
Size of the total moment: 0.0 μB/cell